The following is a DFT calculation (GGA+U) of a relaxed Na2CaCrO crystal.

```
data_Na2CaCrO
_cell_length_a 5.0103
_cell_length_b 5.0103
_cell_length_c 4.5508
_cell_angle_alpha 90.00
_cell_angle_beta 90.00
_cell_angle_gamma 90.00
_symmetry_space_group_name_H-M 'P 1'
_symmetry_Int_Tables_number 1
loop_
_symmetry_equiv_pos_as_xyz
'x,y,z'
loop_
_atom_site_label
_atom_site_type_symbol
_atom_site_fract_x
_atom_site_fract_y
_atom_site_fract_z
Na1 Na 0.0000 0.5000 0.0000
Na2 Na 0.5000 0.0000 0.0000
Ca1 Ca 0.0000 0.0000 0.5000
Cr1 Cr 0.5000 0.5000 0.5000
O1 O 0.0000 0.0000 0.0000
```

## Properties
Its magnetic moment is 5.48 μB per cell. The total energy comes out at -4.04 eV/atom.